RbMoPO6, optimized geometry, DFT PBE with a Hubbard U; mass density = 3.76 Mg/m³; total magnetic moment = 0.00 μB/cell; total DFT energy (no corrections) = -58.92 eV for the cell shown
1.0
4.9684 -0.0001 -0.0003
2.4842 4.3028 0.0002
0.0000 0.0003 6.3737
Rb Mo P O
1 1 1 6
Direct
0.0000 0.0000 0.0000
0.6666 0.6667 0.5000
0.3333 0.3333 0.5000
0.0323 0.3722 0.3416
0.3721 0.0323 0.6584
0.5955 0.3721 0.6584
0.0324 0.5955 0.6584
0.3721 0.5955 0.3416
0.5954 0.0324 0.3416